(1)
## ZnTc2Br (PBE)

Data for crystalline ZnTc2Br at its relaxed geometry.

Lattice parameters (Å, degrees): 6.3232 6.3232 6.3232 152.72 140.52 48.66
Closest atoms and distances in Å follow each position.
Fractional coordinates of all 4 atoms:
Tc: 0.0029 0.0029 0.0000  2 Tc 2.50, 4 Zn 2.64, 2 Br 2.74
Tc: 0.8291 0.3291 0.5000  2 Tc 2.50, 2 Zn 2.65
Zn: 0.4656 0.4656 0.0000  6 Tc 2.64-2.65
Br: 0.2024 0.7024 0.5000  6 Tc 2.74-2.99, 2 Br 2.98

Properties
- space group = Imm2, No. 44
- offset from the most stable computed form (eV per formula unit) = 1.97
- uncorrected formation energy (eV per atom) = 0.64
- total energy (eV per atom) = -5.278
- crystal system = orthorhombic

(2)
## KNpZnN3 (PBE)

Data for crystalline KNpZnN3 at its relaxed geometry.

Lattice parameters (Å, degrees): 3.5294 9.0310 6.9709 110.54 90.00 90.00
Closest atoms and distances in Å follow each position.
Fractional coordinates of all 12 atoms:
N: 0.7500 0.1619 0.5586  3 Zn 2.01-2.18, 1 Np 2.14
N: 0.7500 0.5245 0.1648  3 Np 2.21-2.26
N: 0.2500 0.4755 0.8352  3 Np 2.21-2.26
N: 0.2500 0.8381 0.4414  3 Zn 2.01-2.18, 1 Np 2.14
N: 0.7500 0.7852 0.0703  1 Zn 1.98, 2 Np 2.17
N: 0.2500 0.2148 0.9297  1 Zn 1.98, 2 Np 2.17
Np: 0.2500 0.6708 0.1349  6 N 2.14-2.26
Np: 0.7500 0.3292 0.8651  6 N 2.14-2.26
Zn: 0.2500 0.0600 0.6464  4 N 1.98-2.18
Zn: 0.7500 0.9400 0.3536  4 N 1.98-2.18
K: 0.7500 0.7062 0.6567  3 N 2.72-2.84
K: 0.2500 0.2938 0.3433  3 N 2.72-2.84

Properties
- space group = P2_1/m, No. 11
- uncorrected formation energy (eV per atom) = -0.49
- total energy (eV per atom) = -7.209
- crystal system = monoclinic

(3)
## LaAsSN2 (PBE)

Data for crystalline LaAsSN2 at its relaxed geometry.

Lattice parameters (Å, degrees): 4.0253 4.0253 4.7733 90.00 90.00 90.00
Closest atoms and distances in Å follow each position.
Fractional coordinates of all 5 atoms:
La: 0.5000 0.5000 0.5000  4 S 2.85, 8 N 3.12
N: 0.5000 0.0000 0.0000  2 As 2.01
N: 0.0000 0.5000 0.0000  2 As 2.01
S: 0.0000 0.0000 0.5000  2 As 2.39
As: 0.0000 0.0000 0.0000  4 N 2.01

Properties
- space group = P4/mmm, No. 123
- offset from the most stable computed form (eV per formula unit) = 0.00
- uncorrected formation energy (eV per atom) = -0.04
- total energy (eV per atom) = -6.107
- crystal system = tetragonal

(4)
## Cu2AgSe (PBE)

Data for crystalline Cu2AgSe at its relaxed geometry.

Lattice parameters (Å, degrees): 3.7406 2.8892 6.1033 90.05 90.00 90.00
Closest atoms and distances in Å follow each position.
Fractional coordinates of all 4 atoms:
Cu: 0.0000 0.2497 0.5331  2 Se 2.55, 1 Cu 2.65, 4 Ag 2.71
Cu: 0.0000 0.2503 0.9669  2 Se 2.55, 1 Cu 2.65, 4 Ag 2.71
Se: 0.5000 0.2500 0.2500  4 Cu 2.55
Ag: 0.5000 0.7500 0.7500  8 Cu 2.71, 2 Ag 2.89

Properties
- space group = Pmmm, No. 47
- uncorrected formation energy (eV per atom) = 0.12
- total energy (eV per atom) = -3.510
- crystal system = orthorhombic

(5)
## Na3NdBi2Se6 (PBE)

Data for crystalline Na3NdBi2Se6 at its relaxed geometry.

Lattice parameters (Å, degrees): 7.3714 7.3714 7.4868 99.42 99.42 120.00
Closest atoms and distances in Å follow each position.
Fractional coordinates of all 12 atoms:
Nd: 0.0000 0.0000 0.0000  6 Se 2.98-2.99
Se: 0.7446 0.7446 0.2387  2 Bi 2.97, 1 Nd 2.99, 3 Na 3.06-3.12
Se: 0.5864 0.9214 0.7633  2 Bi 2.97, 1 Nd 2.98, 3 Na 3.04-3.09
Se: 0.9214 0.5864 0.7633  2 Bi 2.97, 1 Nd 2.98, 3 Na 3.04-3.09
Se: 0.4136 0.0786 0.2367  2 Bi 2.97, 1 Nd 2.98, 3 Na 3.04-3.09
Se: 0.0786 0.4136 0.2367  2 Bi 2.97, 1 Nd 2.98, 3 Na 3.04-3.09
Se: 0.2554 0.2554 0.7613  2 Bi 2.97, 1 Nd 2.99, 3 Na 3.06-3.12
Na: 0.1710 0.8290 0.5000  6 Se 3.04-3.12
Na: 0.8290 0.1710 0.5000  6 Se 3.04-3.12
Na: 0.5000 0.5000 0.5000  6 Se 3.06-3.09
Bi: 0.3338 0.6662 0.0000  6 Se 2.97
Bi: 0.6662 0.3338 0.0000  6 Se 2.97

Properties
- space group = C2/m, No. 12
- uncorrected formation energy (eV per atom) = -1.05
- total energy (eV per atom) = -4.171
- crystal system = monoclinic

(6)
## CoTc4As (PBE)

Data for crystalline CoTc4As at its relaxed geometry.

Lattice parameters (Å, degrees): 5.1106 5.1106 5.1106 60.00 60.00 60.00
Closest atoms and distances in Å follow each position.
Fractional coordinates of all 6 atoms:
Tc: 0.3750 0.3750 0.8751  6 Tc 2.55-2.56
Tc: 0.8751 0.3750 0.3750  6 Tc 2.55-2.56
Tc: 0.3750 0.8751 0.3750  6 Tc 2.55-2.56
Tc: 0.3750 0.3750 0.3750  6 Tc 2.55-2.56
As: 0.7500 0.7500 0.7500  12 Tc 3.00, 4 Co 3.13
Co: 0.0000 0.0000 0.0000  12 Tc 3.00, 4 As 3.13

Properties
- space group = F-43m, No. 216
- total energy (eV per atom) = -8.187
- calculated formation energy (meV/atom) = 683
- crystal system = cubic